No. 1
Below is crystalline Al2TcTe at its relaxed geometry, with properties calculated at the PBE level.

SG: No. 166

Lattice parameters (Å, degrees): 3.115 3.115 26.977 90.00 90.00 120.00
Element x y z (fractional)
Al 0.000 0.000 0.234
Al 0.000 0.000 0.766
Al 0.333 0.667 0.433
Al 0.333 0.667 0.900
Al 0.667 0.333 0.100
Al 0.667 0.333 0.567
Tc 0.000 0.000 0.500
Tc 0.333 0.667 0.167
Tc 0.667 0.333 0.833
Te 0.000 0.000 0.000
Te 0.333 0.667 0.667
Te 0.667 0.333 0.333


No. 2
Below is crystalline AlTcTe2W at its relaxed geometry, with properties calculated at the PBE level.

SG: No. 123

Lattice parameters (Å, degrees): 5.337 5.337 4.886 90.00 90.00 90.00
Element x y z (fractional)
Al 0.000 0.000 0.000
Tc 0.500 0.500 0.000
Te 0.000 0.500 0.500
Te 0.500 0.000 0.500
W 0.500 0.500 0.500


No. 3
Below is crystalline Al2TcTeW at its relaxed geometry, with properties calculated at the PBE level.

SG: No. 123

Lattice parameters (Å, degrees): 4.690 4.690 5.098 90.00 90.00 90.00
Element x y z (fractional)
Al 0.000 0.500 0.000
Al 0.500 0.000 0.000
Tc 0.000 0.000 0.000
Te 0.000 0.000 0.500
W 0.500 0.500 0.500


Calculated electronic total energy in order - -5.172 -5.493 -5.523 eV per atom
Calculated ρ in order - 6.14 6.73 6.86 g cm⁻³
Calculated formation energy from raw total energies in order - 77 1176 1266 meV/atom